Crystalline PrHRh at its relaxed geometry, computed with PBE.

Cell lengths 5.0617, 3.7835, 5.0463 Å; angles 90.00, 90.00, 90.00 degrees
Closest atoms and distances in Å follow each position.
Space group Pmma (No. 51)
Asymmetric unit:
Pr (0.2500, 0.0000, 0.2504) (multiplicity 2)  4 H 2.60
H (0.0000, 0.5000, 0.0000) (multiplicity 2)  2 Rh 1.88
Rh (0.2500, 0.5000, 0.7258) (multiplicity 2)  2 H 1.88

Values from the calculation:
Distance to the lowest polymorph of the same formula: 0 meV/atom
Total magnetic moment: 0.000 μB/atom


Crystalline Pr2HRh at its relaxed geometry, computed with PBE.

Cell lengths 3.8846, 3.8846, 21.2041 Å; angles 90.00, 90.00, 120.00 degrees
Closest atoms and distances in Å follow each position.
Space group R3m (No. 160, hexagonal axes)
Asymmetric unit:
Pr (0.0000, 0.0000, 0.0000) (multiplicity 3)  3 Rh 2.84, 3 H 2.91
Pr (0.0000, 0.0000, 0.1689) (multiplicity 3)  3 H 2.83, 3 Rh 2.84
H (0.0000, 0.0000, 0.7544) (multiplicity 3)  6 Pr 2.83-2.91
Rh (0.0000, 0.0000, 0.5846) (multiplicity 3)  6 Pr 2.84

Values from the calculation:
Distance to the lowest polymorph of the same formula: 165 meV/atom
Total magnetic moment: 0.000 μB/atom


Crystalline PrHRh at its relaxed geometry, computed with PBE.

Cell lengths 4.3859, 4.3859, 6.8038 Å; angles 90.00, 90.00, 120.00 degrees
Closest atoms and distances in Å follow each position.
Space group P6_3/mmc (No. 194)
Asymmetric unit:
Pr (0.3333, 0.6667, 0.2500) (multiplicity 2)  3 H 2.53
H (0.0000, 0.0000, 0.2500) (multiplicity 2)  2 Rh 1.70
Rh (0.0000, 0.0000, 0.0000) (multiplicity 2)  2 H 1.70

Values from the calculation:
Distance to the lowest polymorph of the same formula: 66 meV/atom
Total magnetic moment: 0.000 μB/atom


Crystalline Pr3HRh8 at its relaxed geometry, computed with PBE.

Cell lengths 5.4020, 5.4020, 26.2837 Å; angles 90.00, 90.00, 120.00 degrees
Closest atoms and distances in Å follow each position.
Space group R3m (No. 160, hexagonal axes)
Asymmetric unit:
Pr (0.0000, 0.0000, 0.0000) (multiplicity 3)  12 Rh 2.98-3.27, 3 H 3.25
Pr (0.0000, 0.0000, 0.1316) (multiplicity 3)  12 Rh 3.14-3.17, 4 Pr 3.46-3.47
Pr (0.0000, 0.0000, 0.5229) (multiplicity 3)  9 Rh 2.97-3.26
H (0.0000, 0.0000, 0.7013) (multiplicity 3)  3 Rh 1.84
Rh (0.0000, 0.0000, 0.3191) (multiplicity 3)  6 Rh 2.66-2.70
Rh (0.0000, 0.0000, 0.8201) (multiplicity 3)  6 Rh 2.69-2.70
Rh (0.0055, 0.5028, 0.0703) (multiplicity 9)  1 H 1.84
Rh (0.1676, 0.3352, 0.9035) (multiplicity 9)  6 Rh 2.66-2.72, 2 Pr 2.97

Values from the calculation:
Total magnetic moment: 0.000 μB/atom


Crystalline PrH7Rh2 at its relaxed geometry, computed with PBE.

Cell lengths 5.2869, 9.0435, 3.6346 Å; angles 90.00, 90.00, 90.00 degrees
Closest atoms and distances in Å follow each position.
Space group Cmmm (No. 65)
Asymmetric unit:
Pr (0.0000, 0.0000, 0.0000) (multiplicity 2)  8 H 2.44
H (0.0000, 0.3166, 0.0000) (multiplicity 4)  2 Rh 1.82
H (0.0000, 0.5000, 0.5000) (multiplicity 2)  2 Rh 1.68
H (0.1810, 0.1460, 0.5000) (multiplicity 8)  2 Rh 1.72-1.80, 1 H 1.91
Rh (0.0000, 0.3145, 0.5000) (multiplicity 4)  7 H 1.68-1.82

Values from the calculation:
Total magnetic moment: 0.000 μB/atom


Crystalline PrH12Rh6 at its relaxed geometry, computed with PBE.

Cell lengths 8.8574, 8.8574, 6.9783 Å; angles 90.00, 90.00, 120.00 degrees
Closest atoms and distances in Å follow each position.
Space group R-3 (No. 148, hexagonal axes)
Asymmetric unit:
Pr (0.0000, 0.0000, 0.0000) (multiplicity 3)  6 H 2.44
H (0.0404, 0.2812, 0.8981) (multiplicity 18)  3 Rh 1.81-1.84
H (0.0674, 0.2015, 0.3839) (multiplicity 18)  3 Rh 1.77-1.88
Rh (0.0839, 0.5047, 0.3153) (multiplicity 18)  6 H 1.77-1.88

Values from the calculation:
Total magnetic moment: 0.000 μB/atom


In order of appearance, electronic total energy = -5.710, -5.440, -5.645, -6.787, -4.613, -4.840 eV per atom.